Compound: BeHg2Au
Source: Alexandria via LeMat-Bulk
Functional: PBE
Structure: relaxed

The space group is C2/m (No. 12) and the conventional cell measures 5.6022, 9.6097 and 3.3429 Å, with angles of 90.00, 117.22 and 90.00 degrees. The distinct sites, in fractional coordinates, are Be at (0.0000, 0.0000, 0.0000), Hg at (0.2500, 0.2500, 0.0000) and Au at (0.0000, 0.5000, 0.0000).

The calculated formation energy is 376 meV/atom. The density of states at the Fermi level is 0.33 states/eV per atom. The mass density comes out at 12.60 g cm⁻³.